## Ac2ScSn3Pd6 (PBE)

Data for a geometry-optimized Ac2ScSn3Pd6 structure.

abc: 4.2759 4.2759 16.8537
angles: 90.00 90.00 90.00
Positions (direct):
Ac 0.0000 0.0000 0.1935
Ac 0.0000 0.0000 0.8065
Sc 0.0000 0.0000 0.5000
Sn 0.5000 0.5000 0.0000
Sn 0.5000 0.5000 0.3104
Sn 0.5000 0.5000 0.6896
Pd 0.0000 0.5000 0.4038
Pd 0.0000 0.5000 0.5962
Pd 0.5000 0.0000 0.4038
Pd 0.5000 0.0000 0.5962
Pd 0.5000 0.5000 0.1517
Pd 0.5000 0.5000 0.8483

Summary:
The uncorrected energy is -5.372 eV per atom. Its space-group type is P4/mmm. As for the formation enthalpy at 0 K: -0.5627 eV/atom. The density of states at the Fermi level is 0.44 states/eV per atom.

## Sn2BRu (PBE)

Data for a geometry-optimized Sn2BRu structure.

abc: 5.6963 5.6963 5.6963
angles: 106.95 106.95 114.64
Positions (direct):
Sn 0.0735 0.6250 0.9485
Sn 0.3750 0.3235 0.4485
Sn 0.6765 0.1250 0.0515
Sn 0.8750 0.9265 0.5515
B 0.0000 0.0000 0.0000
B 0.7500 0.2500 0.5000
Ru 0.2500 0.7500 0.5000
Ru 0.5000 0.5000 0.0000

Summary:
The uncorrected energy is -5.208 eV per atom. Its space-group type is I-42d. As for the formation enthalpy at 0 K: 0.7821 eV/atom. The density of states at the Fermi level is 0.88 states/eV per atom.